# 1
## Cs3PmBi2Te6 (GGA-PBE)

Data for an optimized crystal structure of Cs3PmBi2Te6.

Summary:
Formation energy from raw total energies ... -10.6 eV/f.u.

Cell: 8.083 8.083 9.329 Å, 98.31 98.31 120.00°
Fractional coordinates of all 12 atoms:
Cs 0.167 0.833 0.500
Cs 0.833 0.167 0.500
Cs 0.500 0.500 0.500
Pm 0.000 0.000 0.000
Bi 0.333 0.667 0.000
Bi 0.667 0.333 0.000
Te 0.936 0.601 0.807
Te 0.730 0.730 0.193
Te 0.064 0.399 0.193
Te 0.601 0.936 0.807
Te 0.270 0.270 0.807
Te 0.399 0.064 0.193

# 2
## Mn2PdI6 (GGA-PBE)

Data for an optimized crystal structure of Mn2PdI6.

Summary:
Formation energy from raw total energies ... -2.7 eV/f.u.

Cell: 7.424 7.156 7.156 Å, 120.00 90.00 90.00°
Last column: magnetic moment on the atom in μB.
Fractional coordinates of all 9 atoms:
Mn 0.500 0.333 0.667  4.35
Mn 0.500 0.667 0.333  4.35
Pd 0.500 0.000 0.000  0.93
I 0.279 0.671 0.000  0.19
I 0.279 0.329 0.329  0.19
I 0.279 0.000 0.671  0.19
I 0.721 0.329 0.000  0.19
I 0.721 0.671 0.671  0.19
I 0.721 0.000 0.329  0.19

# 3
## Ba2ZnAg3Sb4 (GGA-PBE)

Data for an optimized crystal structure of Ba2ZnAg3Sb4.

Summary:
Formation energy from raw total energies ... -5.0 eV/f.u.

Cell: 4.888 4.888 11.621 Å, 90.00 90.00 90.00°
Fractional coordinates of all 10 atoms:
Ba 0.500 0.000 0.253
Ba 0.000 0.500 0.747
Zn 0.500 0.500 0.500
Ag 0.000 0.000 0.500
Ag 0.500 0.000 0.867
Ag 0.000 0.500 0.133
Sb 0.500 0.500 0.000
Sb 0.000 0.000 0.000
Sb 0.500 0.000 0.629
Sb 0.000 0.500 0.371

# 4
## CdHg4BiPb2 (GGA-PBE)

Data for an optimized crystal structure of CdHg4BiPb2.

Summary:
Energy of formation ... 0.089 eV per atom

Cell: 6.214 6.214 7.362 Å, 109.38 109.38 102.34°
Fractional coordinates of all 8 atoms:
Cd 0.750 0.250 0.500
Hg 0.993 0.493 0.985
Hg 0.507 0.007 0.015
Hg 0.750 0.750 0.499
Hg 0.250 0.250 0.501
Bi 0.500 0.500 0.000
Pb 0.250 0.750 0.500
Pb 0.000 0.000 0.000

Result set for calculated density: 5.68 4.93 6.88 10.84 Mg/m³, one per record in the order listed.
Result set for electronic total energy: -3.7085 -3.9476 -3.5120 -1.5889 eV per atom, one per record in the order listed.